1.
Material: Er4IrPbSe2
Method: DFT, GGA-PBE
State: relaxed

## Properties
The uncorrected formation energy comes out at -8.94 eV per formula unit. Its crystal system is monoclinic. The raw total energy comes out at -5.842 eV per atom.

```
Er4IrPbSe2
1.0
7.106 0.000 0.000
0.000 4.009 0.000
-2.334 0.000 7.149
Er Ir Pb Se
4 1 1 2
Direct
0.224 0.000 0.235
0.225 0.500 0.748
0.775 0.500 0.252
0.776 0.000 0.765
0.000 0.500 0.000
0.500 0.000 0.000
0.000 0.000 0.500
0.500 0.500 0.500
```


2.
Material: Er6Ir2PbSe3
Method: DFT, GGA-PBE
State: relaxed

## Properties
The uncorrected formation energy comes out at -14.34 eV per formula unit. Its crystal system is monoclinic. The raw total energy comes out at -6.134 eV per atom.

```
Er6Ir2PbSe3
1.0
9.424 -2.000 0.000
9.424 2.000 0.000
-3.302 0.000 7.874
Er Ir Pb Se
6 2 1 3
Direct
0.003 0.003 0.230
0.317 0.317 0.957
0.324 0.324 0.409
0.676 0.676 0.591
0.683 0.683 0.043
0.997 0.997 0.770
0.153 0.153 0.794
0.847 0.847 0.206
0.500 0.500 0.500
0.165 0.165 0.318
0.500 0.500 0.000
0.835 0.835 0.682
```


3.
Material: Er6Te3Ir2Pb
Method: DFT, GGA-PBE
State: relaxed

## Properties
The uncorrected formation energy comes out at -11.73 eV per formula unit. Its crystal system is monoclinic. The raw total energy comes out at -5.830 eV per atom.

```
Er6Te3Ir2Pb
1.0
9.476 -2.071 0.000
9.476 2.071 0.000
-2.620 0.000 8.397
Er Te Ir Pb
6 3 2 1
Direct
0.014 0.014 0.261
0.319 0.319 0.442
0.328 0.328 0.879
0.672 0.672 0.121
0.681 0.681 0.558
0.986 0.986 0.739
0.161 0.161 0.834
0.500 0.500 0.500
0.839 0.839 0.166
0.167 0.167 0.332
0.833 0.833 0.668
0.500 0.500 0.000
```


4.
Material: YErIrPb
Method: DFT, GGA-PBE
State: relaxed

## Properties
The calculation puts the excess energy over the best structure of this formula in the dataset at 0.0 meV per atom. Its crystal system is tetragonal. For the energy relative to the elements, the calculation gives -686 meV per atom. The raw total energy comes out at -6.585 eV per atom.

```
YErIrPb
1.0
3.488 0.000 0.000
0.000 3.488 0.000
0.000 0.000 7.998
Y Er Ir Pb
1 1 1 1
Direct
0.000 0.000 0.000
0.000 0.000 0.591
0.500 0.500 0.790
0.500 0.500 0.297
```


5.
Material: YErIrPb
Method: DFT, GGA-PBE
State: relaxed

## Properties
The calculation puts the excess energy over the best structure of this formula in the dataset at 194.3 meV per atom. Its crystal system is cubic. For the energy relative to the elements, the calculation gives -492 meV per atom. The raw total energy comes out at -6.391 eV per atom.

```
YErIrPb
1.0
0.000 3.619 3.619
3.619 0.000 3.619
3.619 3.619 0.000
Y Er Ir Pb
1 1 1 1
Direct
0.000 0.000 0.000
0.500 0.500 0.500
0.250 0.250 0.250
0.750 0.750 0.750
```


6.
Material: Er7Ir4Pd
Method: DFT, GGA-PBE
State: relaxed

## Properties
Its crystal system is monoclinic. For the energy relative to the elements, the calculation gives -662 meV per atom. The raw total energy comes out at -6.710 eV per atom.

```
Er7Ir4Pd
1.0
6.957 -2.535 0.000
6.957 2.535 0.000
-5.969 0.000 7.916
Er Ir Pd
7 4 1
Direct
0.000 0.000 0.000
0.163 0.163 0.608
0.287 0.287 0.131
0.422 0.422 0.665
0.578 0.578 0.335
0.713 0.713 0.869
0.837 0.837 0.392
0.069 0.069 0.783
0.210 0.210 0.346
0.790 0.790 0.654
0.931 0.931 0.217
0.500 0.500 0.000
```


7.
Material: Er6Ir2Pd
Method: DFT, GGA-PBE
State: relaxed

## Properties
Its crystal system is monoclinic. For the energy relative to the elements, the calculation gives -638 meV per atom. The raw total energy comes out at -6.226 eV per atom.

```
Er6Ir2Pd
1.0
6.563 0.000 0.000
0.000 7.175 0.000
-5.964 0.000 9.825
Er Ir Pd
12 4 2
Direct
0.088 0.182 0.431
0.088 0.318 0.931
0.236 0.669 0.418
0.236 0.831 0.918
0.410 0.051 0.242
0.410 0.449 0.742
0.590 0.551 0.258
0.590 0.949 0.758
0.764 0.169 0.082
0.764 0.331 0.582
0.912 0.682 0.069
0.912 0.818 0.569
0.184 0.117 0.732
0.184 0.383 0.232
0.816 0.617 0.768
0.816 0.883 0.268
0.500 0.000 0.500
0.500 0.500 0.000
```


8.
Material: Er6IrPd5
Method: DFT, GGA-PBE
State: relaxed

## Properties
Its crystal system is orthorhombic. For the energy relative to the elements, the calculation gives -939 meV per atom. The raw total energy comes out at -6.122 eV per atom.

```
Er6IrPd5
1.0
2.466 -7.382 0.000
2.466 7.382 0.000
0.000 0.000 6.845
Er Ir Pd
6 1 5
Direct
0.000 0.000 0.244
0.000 0.000 0.756
0.337 0.663 0.247
0.337 0.663 0.753
0.663 0.337 0.247
0.663 0.337 0.753
0.500 0.500 0.000
0.166 0.834 0.500
0.170 0.830 0.000
0.500 0.500 0.500
0.830 0.170 0.000
0.834 0.166 0.500
```


9.
Material: Er3IrPd
Method: DFT, GGA-PBE
State: relaxed

## Properties
Its crystal system is triclinic. For the energy relative to the elements, the calculation gives -750 meV per atom. The raw total energy comes out at -6.299 eV per atom.

```
Er3IrPd
1.0
4.299 0.000 0.000
2.146 5.193 0.000
0.011 1.670 10.945
Er Ir Pd
6 2 2
Direct
0.092 0.317 0.231
0.152 0.196 0.587
0.362 0.777 0.081
0.638 0.223 0.919
0.848 0.804 0.413
0.908 0.683 0.769
0.265 0.969 0.831
0.735 0.031 0.169
0.431 0.639 0.598
0.569 0.361 0.402
```


10.
Material: Er4IrPd2
Method: DFT, GGA-PBE
State: relaxed

## Properties
The calculation puts the excess energy over the best structure of this formula in the dataset at 15.6 meV per atom. Its crystal system is trigonal. For the energy relative to the elements, the calculation gives -797 meV per atom. The raw total energy comes out at -6.154 eV per atom.

```
Er4IrPd2
1.0
2.422 1.398 7.981
-2.422 1.398 7.981
0.000 -2.797 7.981
Er Ir Pd
4 1 2
Direct
0.123 0.123 0.123
0.373 0.373 0.373
0.627 0.627 0.627
0.877 0.877 0.877
0.000 0.000 0.000
0.249 0.249 0.249
0.751 0.751 0.751
```


11.
Material: Er8IrPd2
Method: DFT, GGA-PBE
State: relaxed

## Properties
The calculation puts the excess energy over the best structure of this formula in the dataset at 0.0 meV per atom. Its crystal system is monoclinic. For the energy relative to the elements, the calculation gives -535 meV per atom. The raw total energy comes out at -5.603 eV per atom.

```
Er8IrPd2
1.0
8.605 -2.513 0.000
8.605 2.513 0.000
-1.821 0.000 6.420
Er Ir Pd
8 1 2
Direct
0.032 0.032 0.292
0.204 0.204 0.819
0.336 0.336 0.527
0.410 0.410 0.061
0.590 0.590 0.939
0.664 0.664 0.473
0.796 0.796 0.181
0.968 0.968 0.708
0.500 0.500 0.500
0.188 0.188 0.221
0.812 0.812 0.779
```


12.
Material: Er8IrPd2
Method: DFT, GGA-PBE
State: relaxed

## Properties
The calculation puts the excess energy over the best structure of this formula in the dataset at 98.3 meV per atom. Its crystal system is monoclinic. For the energy relative to the elements, the calculation gives -437 meV per atom. The raw total energy comes out at -5.505 eV per atom.

```
Er8IrPd2
1.0
4.109 -6.465 0.000
4.109 6.465 0.000
-2.115 0.000 5.523
Er Ir Pd
8 1 2
Direct
0.000 0.000 0.000
0.020 0.270 0.587
0.153 0.565 0.179
0.270 0.020 0.587
0.444 0.694 0.793
0.565 0.153 0.179
0.694 0.444 0.793
0.714 0.714 0.355
0.357 0.357 0.009
0.047 0.659 0.675
0.659 0.047 0.675
```


13.
Material: Er4IrPd2
Method: DFT, GGA-PBE
State: relaxed

## Properties
The calculation puts the excess energy over the best structure of this formula in the dataset at 0.0 meV per atom. Its crystal system is triclinic. For the energy relative to the elements, the calculation gives -813 meV per atom. The raw total energy comes out at -6.170 eV per atom.

```
Er4IrPd2
1.0
7.468 0.000 0.000
-2.504 7.037 0.000
-2.448 -3.533 6.113
Er Ir Pd
8 2 4
Direct
0.000 0.000 0.000
0.001 0.501 0.003
0.139 0.879 0.518
0.380 0.757 0.879
0.515 0.378 0.138
0.518 0.379 0.640
0.639 0.880 0.517
0.878 0.258 0.379
0.634 0.129 0.884
0.884 0.629 0.634
0.138 0.259 0.759
0.260 0.499 0.380
0.379 0.000 0.259
0.759 0.759 0.140
```


14.
Material: Er5Ir2Pd
Method: DFT, GGA-PBE
State: relaxed

## Properties
Its crystal system is tetragonal. For the energy relative to the elements, the calculation gives -799 meV per atom. The raw total energy comes out at -6.515 eV per atom.

```
Er5Ir2Pd
1.0
-3.770 3.770 6.638
3.770 -3.770 6.638
3.770 3.770 -6.638
Er Ir Pd
10 4 2
Direct
0.000 0.000 0.000
0.024 0.524 0.827
0.198 0.024 0.500
0.302 0.802 0.827
0.476 0.302 0.500
0.500 0.500 0.000
0.524 0.698 0.500
0.698 0.198 0.173
0.802 0.976 0.500
0.976 0.476 0.173
0.138 0.362 0.500
0.362 0.862 0.225
0.638 0.138 0.775
0.862 0.638 0.500
0.250 0.250 0.000
0.750 0.750 0.000
```


15.
Material: Er12IrPd6
Method: DFT, GGA-PBE
State: relaxed

## Properties
Its crystal system is trigonal. For the energy relative to the elements, the calculation gives -599 meV per atom. The raw total energy comes out at -5.587 eV per atom.

```
Er12IrPd6
1.0
6.227 3.595 3.875
-6.227 3.595 3.875
0.000 -7.191 3.875
Er Ir Pd
12 1 6
Direct
0.042 0.679 0.918
0.082 0.958 0.321
0.180 0.416 0.574
0.321 0.082 0.958
0.416 0.574 0.180
0.426 0.820 0.584
0.574 0.180 0.416
0.584 0.426 0.820
0.679 0.918 0.042
0.820 0.584 0.426
0.918 0.042 0.679
0.958 0.321 0.082
0.000 0.000 0.000
0.134 0.622 0.315
0.315 0.134 0.622
0.378 0.685 0.866
0.622 0.315 0.134
0.685 0.866 0.378
0.866 0.378 0.685
```


16.
Material: Er4Ir3Pd
Method: DFT, GGA-PBE
State: relaxed

## Properties
Its crystal system is tetragonal. For the energy relative to the elements, the calculation gives -918 meV per atom. The raw total energy comes out at -7.171 eV per atom.

```
Er4Ir3Pd
1.0
4.762 0.000 0.000
0.000 4.762 0.000
0.000 0.000 7.014
Er Ir Pd
4 3 1
Direct
0.000 0.500 0.247
0.000 0.500 0.753
0.500 0.000 0.247
0.500 0.000 0.753
0.000 0.000 0.000
0.000 0.000 0.500
0.500 0.500 0.000
0.500 0.500 0.500
```


17.
Material: Er12Ir2Pd5
Method: DFT, GGA-PBE
State: relaxed

## Properties
Its crystal system is monoclinic. For the energy relative to the elements, the calculation gives -627 meV per atom. The raw total energy comes out at -5.808 eV per atom.

```
Er12Ir2Pd5
1.0
8.112 -3.698 0.000
8.112 3.698 0.000
-2.257 0.000 8.436
Er Ir Pd
12 2 5
Direct
0.002 0.002 0.240
0.066 0.593 0.401
0.108 0.593 0.935
0.407 0.892 0.065
0.407 0.934 0.599
0.488 0.488 0.688
0.512 0.512 0.312
0.593 0.066 0.401
0.593 0.108 0.935
0.892 0.407 0.065
0.934 0.407 0.599
0.998 0.998 0.760
0.209 0.791 0.500
0.791 0.209 0.500
0.191 0.191 0.334
0.203 0.203 0.866
0.500 0.500 0.000
0.797 0.797 0.134
0.809 0.809 0.666
```


18.
Material: Er8Ir5Pd
Method: DFT, GGA-PBE
State: relaxed

## Properties
Its crystal system is tetragonal. For the energy relative to the elements, the calculation gives -815 meV per atom. The raw total energy comes out at -6.958 eV per atom.

```
Er8Ir5Pd
1.0
-4.266 4.266 4.266
4.266 -4.266 4.266
4.266 4.266 -4.266
Er Ir Pd
8 5 1
Direct
0.010 0.624 0.746
0.250 0.504 0.119
0.376 0.122 0.387
0.384 0.131 0.881
0.496 0.616 0.747
0.736 0.990 0.613
0.869 0.750 0.253
0.878 0.264 0.254
0.118 0.242 0.620
0.250 0.750 0.500
0.502 0.882 0.124
0.621 0.498 0.380
0.758 0.379 0.876
0.000 0.000 0.000
```


19.
Material: ErIrPd2
Method: DFT, GGA-PBE
State: relaxed

## Properties
Its crystal system is tetragonal. For the energy relative to the elements, the calculation gives -646 meV per atom. The raw total energy comes out at -6.598 eV per atom.

```
ErIrPd2
1.0
4.101 0.000 0.000
0.000 4.101 0.000
0.000 0.000 4.037
Er Ir Pd
1 1 2
Direct
0.000 0.000 0.000
0.500 0.500 0.000
0.000 0.500 0.500
0.500 0.000 0.500
```


20.
Material: PmErIrPd
Method: DFT, GGA-PBE
State: relaxed

## Properties
Its crystal system is cubic. For the energy relative to the elements, the calculation gives -828 meV per atom. The raw total energy comes out at -6.670 eV per atom.

```
PmErIrPd
1.0
0.000 3.496 3.496
3.496 0.000 3.496
3.496 3.496 0.000
Pm Er Ir Pd
1 1 1 1
Direct
0.000 0.000 0.000
0.500 0.500 0.500
0.750 0.750 0.750
0.250 0.250 0.250
```